A geometry-optimized BaSnI2O structure, computed with PBE.

Lattice parameters (Å, degrees): 6.426 6.426 4.250 90.00 90.00 90.00
Sites, in units of the cell vectors:
Ba: 0.000 0.000 0.000
Sn: 0.500 0.500 0.500
I: 0.000 0.500 0.500
I: 0.500 0.000 0.500
O: 0.500 0.500 0.000

Computed properties:
Uncorrected energy ... -19.10 eV per cell
Energy above the most stable polymorph in this dataset ... 0 meV per atom
E_form (uncorrected) ... -1.024 eV/atom
Space-group type ... No. 123